VASP calculation (PBE with a Hubbard U) on crystalline SrCrBrO4 at its relaxed geometry.

The calculation puts the total energy at -168.48 eV/cell. The calculation puts the density of states at the Fermi level at 0.0 states/eV/f.u. The magnetization is 0.00 μB/cell.

```
data_SrCrBrO4
_cell_length_a 12.7874
_cell_length_b 6.3098
_cell_length_c 6.6486
_cell_angle_alpha 90.00
_cell_angle_beta 110.21
_cell_angle_gamma 90.00
_space_group_name_H-M_alt 'C 1 2/m 1'
_space_group_IT_number 12
_space_group_name_Hall '-C 2y'
loop_
_atom_site_label
_atom_site_type_symbol
_atom_site_fract_x
_atom_site_fract_y
_atom_site_fract_z
Sr1 Sr 0.1728 0.0000 0.2684
Cr1 Cr 0.1584 0.0000 0.7525
Br1 Br 0.0314 0.5000 0.1860
O1 O 0.0428 0.0000 0.8148
O2 O 0.1685 0.2116 0.6064
O3 O 0.2381 0.5000 0.0171
```